[1]
Here is ZrIn after structural relaxation from OQMD via LeMat-Bulk. Energies are from PBE.

```
data_ZrIn
_chemical_formula_sum 'Zr6 In6'
_cell_length_a 5.2069
_cell_length_b 9.7449
_cell_length_c 5.4915
_cell_angle_alpha 90.00
_cell_angle_beta 90.00
_cell_angle_gamma 90.00
_symmetry_space_group_name_H-M 'P m c 21'
_symmetry_Int_Tables_number 26
loop_
_symmetry_equiv_pos_as_xyz
'x,y,z'
'-x,-y,z+1/2'
'-x,y,z'
'x,-y,z+1/2'
loop_
_atom_site_label
_atom_site_type_symbol
_atom_site_fract_x
_atom_site_fract_y
_atom_site_fract_z
Zr1 Zr 0.0000 0.0798 0.0000
Zr2 Zr 0.0000 0.4115 0.0443
Zr3 Zr 0.5000 0.0927 0.3715
In1 In 0.0000 0.2596 0.5325
In2 In 0.5000 0.2372 0.8820
In3 In 0.5000 0.4289 0.3603
```

Computed properties:
Uncorrected energy   -5.770 eV per atom
M_tot   0.43 μB/cell

***

[2]
Here is Dy2In8Ni after structural relaxation from OQMD via LeMat-Bulk. Energies are from PBE.

```
data_Dy2In8Ni
_chemical_formula_sum 'Dy2 In8 Ni1'
_cell_length_a 4.6343
_cell_length_b 4.6343
_cell_length_c 12.1031
_cell_angle_alpha 90.00
_cell_angle_beta 90.00
_cell_angle_gamma 90.00
_symmetry_space_group_name_H-M 'P 4/m m m'
_symmetry_Int_Tables_number 123
_symmetry_space_group_name_Hall '-P 4 2'
loop_
_atom_site_label
_atom_site_type_symbol
_atom_site_fract_x
_atom_site_fract_y
_atom_site_fract_z
Dy1 Dy 0.0000 0.0000 0.1900
In1 In 0.0000 0.5000 0.0000
In2 In 0.0000 0.5000 0.3781
In3 In 0.5000 0.5000 0.1911
Ni1 Ni 0.0000 0.0000 0.5000
```

Computed properties:
Uncorrected energy   -3.669 eV per atom
M_tot   0.00 μB/cell

***

[3]
Here is Y2HoIn3CuPt2 after structural relaxation from OQMD via LeMat-Bulk. Energies are from PBE.

```
data_Y2HoIn3CuPt2
_chemical_formula_sum 'Y4 Ho2 In6 Cu2 Pt4'
_cell_length_a 3.7379
_cell_length_b 13.4024
_cell_length_c 7.7547
_cell_angle_alpha 90.00
_cell_angle_beta 90.00
_cell_angle_gamma 90.00
_symmetry_space_group_name_H-M 'A m m 2'
_symmetry_Int_Tables_number 38
loop_
_symmetry_equiv_pos_as_xyz
'x,y,z'
'-x,-y,z'
'-x,y,z'
'x,-y,z'
'x,y+1/2,z+1/2'
'-x,-y+1/2,z+1/2'
'-x,y+1/2,z+1/2'
'x,-y+1/2,z+1/2'
loop_
_atom_site_label
_atom_site_type_symbol
_atom_site_fract_x
_atom_site_fract_y
_atom_site_fract_z
Y1 Y 0.0000 0.2050 0.0000
Ho1 Ho 0.0000 0.0000 0.3840
In1 In 0.5000 0.0000 0.0493
In2 In 0.5000 0.1273 0.6674
Cu1 Cu 0.0000 0.0000 0.7941
Pt1 Pt 0.5000 0.1652 0.2957
```

Computed properties:
Uncorrected energy   -5.458 eV per atom
M_tot   0.03 μB/cell

***

[4]
Here is ErLu2Fe7Co2 after structural relaxation from OQMD via LeMat-Bulk. Energies are from PBE.

```
data_ErLu2Fe7Co2
_chemical_formula_sum 'Er3 Lu6 Fe21 Co6'
_cell_length_a 4.9783
_cell_length_b 4.9783
_cell_length_c 24.2060
_cell_angle_alpha 90.00
_cell_angle_beta 90.00
_cell_angle_gamma 120.00
_symmetry_space_group_name_H-M 'R -3 m'
_symmetry_Int_Tables_number 166
_symmetry_space_group_name_Hall '-R 3 2"'
loop_
_atom_site_label
_atom_site_type_symbol
_atom_site_fract_x
_atom_site_fract_y
_atom_site_fract_z
Er1 Er 0.0000 0.0000 0.0000
Lu1 Lu 0.0000 0.0000 0.1423
Fe1 Fe 0.0000 0.0000 0.5000
Fe2 Fe 0.0006 0.5003 0.9174
Co1 Co 0.0000 0.0000 0.3327
```

Computed properties:
Uncorrected energy   -7.316 eV per atom
Energy of formation   -0.15 eV per atom
M_tot   47.73 μB/cell

***

[5]
Here is DyAl2ZnPt after structural relaxation from OQMD via LeMat-Bulk. Energies are from PBE.

```
data_DyAl2ZnPt
_chemical_formula_sum 'Dy2 Al4 Zn2 Pt2'
_cell_length_a 4.1062
_cell_length_b 4.1062
_cell_length_c 11.0907
_cell_angle_alpha 90.00
_cell_angle_beta 90.00
_cell_angle_gamma 90.00
_symmetry_space_group_name_H-M 'I 4 m m'
_symmetry_Int_Tables_number 107
_symmetry_space_group_name_Hall 'I 4 -2'
loop_
_atom_site_label
_atom_site_type_symbol
_atom_site_fract_x
_atom_site_fract_y
_atom_site_fract_z
Dy1 Dy 0.0000 0.0000 0.0000
Al1 Al 0.0000 0.5000 0.2523
Zn1 Zn 0.0000 0.0000 0.3964
Pt1 Pt 0.0000 0.0000 0.6225
```

Computed properties:
Uncorrected energy   -4.646 eV per atom
M_tot   0.00 μB/cell

***

[6]
Here is YScCuSn after structural relaxation from OQMD via LeMat-Bulk. Energies are from PBE.

```
data_YScCuSn
_chemical_formula_sum 'Y4 Sc4 Cu4 Sn4'
_cell_length_a 7.0404
_cell_length_b 7.0404
_cell_length_c 7.0404
_cell_angle_alpha 90.00
_cell_angle_beta 90.00
_cell_angle_gamma 90.00
_symmetry_space_group_name_H-M 'F -4 3 m'
_symmetry_Int_Tables_number 216
_symmetry_space_group_name_Hall 'F -4 2 3'
loop_
_atom_site_label
_atom_site_type_symbol
_atom_site_fract_x
_atom_site_fract_y
_atom_site_fract_z
Y1 Y 0.0000 0.0000 0.0000
Sc1 Sc 0.2500 0.2500 0.7500
Cu1 Cu 0.2500 0.2500 0.2500
Sn1 Sn 0.0000 0.0000 0.5000
```

Computed properties:
Uncorrected energy   -5.139 eV per atom
M_tot   7.15 μB/cell

***

Repeat the fifth record exactly.
Here is DyAl2ZnPt after structural relaxation from OQMD via LeMat-Bulk. Energies are from PBE.

```
data_DyAl2ZnPt
_chemical_formula_sum 'Dy2 Al4 Zn2 Pt2'
_cell_length_a 4.1062
_cell_length_b 4.1062
_cell_length_c 11.0907
_cell_angle_alpha 90.00
_cell_angle_beta 90.00
_cell_angle_gamma 90.00
_symmetry_space_group_name_H-M 'I 4 m m'
_symmetry_Int_Tables_number 107
_symmetry_space_group_name_Hall 'I 4 -2'
loop_
_atom_site_label
_atom_site_type_symbol
_atom_site_fract_x
_atom_site_fract_y
_atom_site_fract_z
Dy1 Dy 0.0000 0.0000 0.0000
Al1 Al 0.0000 0.5000 0.2523
Zn1 Zn 0.0000 0.0000 0.3964
Pt1 Pt 0.0000 0.0000 0.6225
```

Computed properties:
Uncorrected energy   -4.646 eV per atom
M_tot   0.00 μB/cell

***

Look up the M_tot of the sixth one.
7.15 μB/cell